1.
First-principles (GGA-PBE) data for Y3NiS after structural relaxation, as listed in Alexandria via LeMat-Bulk.

## Properties
**M_tot**: 0.0 μB per formula unit
**Calculated total energy**: -6.2383 eV per atom
**DOS at the Fermi energy**: 9.35 states/eV per cell
**Raw formation energy**: -378 meV/atom

```
Y3NiS
1.0
-1.279 4.731 -1.475
-2.804 -1.947 -3.813
-4.086 -0.144 3.078
Ni Y S
1 3 1
Direct
0.500 0.500 0.500 Ni
0.000 0.500 0.000 Y
0.500 0.000 0.000 Y
0.000 0.000 0.500 Y
0.000 0.000 0.000 S
```

---

2.
First-principles (GGA-PBE) data for Li3Pu3BeS8 after structural relaxation, as listed in Alexandria via LeMat-Bulk.

## Properties
**M_tot**: 13.0 μB per formula unit
**Calculated total energy**: -6.9711 eV per atom
**DOS at the Fermi energy**: 24.55 states/eV per cell
**Raw formation energy**: -1272 meV/atom

```
Li3Pu3BeS8
1.0
-5.319 3.119 -4.805
-1.621 -6.284 4.073
0.880 6.697 3.372
S Li Be Pu
8 3 1 3
Direct
0.254 0.002 0.744 S
0.746 0.998 0.256 S
0.748 0.002 0.744 S
0.203 0.405 0.703 S
0.245 0.490 0.245 S
0.252 0.998 0.256 S
0.797 0.595 0.297 S
0.755 0.510 0.755 S
0.500 0.500 0.000 Li
0.000 0.000 0.000 Li
0.000 0.500 0.000 Li
0.000 0.000 0.500 Be
0.000 0.500 0.500 Pu
0.500 0.500 0.500 Pu
0.500 0.000 0.500 Pu
```